Version one
DFT (PBE) results for a relaxed structure of LiSnPt3.

Values from the calculation:
Space-group type: P2_1 (4)

Cell lengths 4.5358, 4.7024, 7.8738 Å; angles 90.01, 73.09, 89.98 degrees
Fractional coordinates of all 10 atoms:
Pt (0.4599, 0.1033, 0.8025)
Pt (0.2670, 0.1400, 0.1903)
Pt (0.5657, 0.6031, 0.5831)
Pt (0.9595, 0.7271, 0.7977)
Pt (0.0662, 0.2270, 0.5877)
Pt (0.7585, 0.6392, 0.1953)
Sn (0.3626, 0.6176, 0.9890)
Sn (0.6630, 0.1171, 0.3965)
Li (0.1541, 0.6908, 0.4070)
Li (0.8719, 0.1909, 0.9781)

Version two
DFT (PBE) results for a relaxed structure of LiSnPt3.

Values from the calculation:
Space-group type: Pm-3m (221)

Cell lengths 4.3359, 4.3359, 4.3359 Å; angles 90.00, 90.00, 90.00 degrees
Fractional coordinates of all 5 atoms:
Pt (0.5000, 0.0000, 0.0000)
Pt (0.0000, 0.0000, 0.5000)
Pt (0.0000, 0.5000, 0.0000)
Li (0.0000, 0.0000, 0.0000)
Sn (0.5000, 0.5000, 0.5000)

If we sort the structures by their calculated energies, the order from most to least stable is version one, version two.

Version one
DFT (PBE) results for a relaxed structure of Li3SnPt.

Values from the calculation:
Space-group type: P2_1/m (11)

Cell lengths 4.6020, 7.6128, 5.2619 Å; angles 90.00, 89.94, 90.00 degrees
Fractional coordinates of all 10 atoms:
Li (0.7498, 0.2500, 0.2580)
Li (0.2502, 0.7500, 0.7420)
Li (0.7492, 0.4339, 0.8018)
Li (0.2508, 0.5661, 0.1982)
Li (0.2508, 0.9339, 0.1982)
Li (0.7492, 0.0661, 0.8018)
Sn (0.7509, 0.7500, 0.4626)
Sn (0.2491, 0.2500, 0.5374)
Pt (0.7498, 0.7500, 0.9724)
Pt (0.2502, 0.2500, 0.0276)

Version two
DFT (PBE) results for a relaxed structure of Li3SnPt.

Values from the calculation:
Space-group type: Pm-3m (221)

Cell lengths 4.6697, 4.6697, 4.6697 Å; angles 90.00, 90.00, 90.00 degrees
Fractional coordinates of all 5 atoms:
Li (0.5000, 0.0000, 0.0000)
Li (0.0000, 0.5000, 0.0000)
Li (0.0000, 0.0000, 0.5000)
Pt (0.0000, 0.0000, 0.0000)
Sn (0.5000, 0.5000, 0.5000)

If we sort the structures by their calculated energies, the order from most to least stable is version one, version two.

Version one
DFT (PBE) results for a relaxed structure of SrLiSnPt.

Values from the calculation:
Space-group type: Cm (8)

Cell lengths 4.6622, 4.6653, 5.8970 Å; angles 113.15, 90.00, 119.98 degrees
Fractional coordinates of all 4 atoms:
Sn (0.1032, 0.2064, 0.9516)
Pt (0.4252, 0.8505, 0.9179)
Li (0.8155, 0.6310, 0.0892)
Sr (0.6224, 0.2448, 0.5087)

Version two
DFT (PBE) results for a relaxed structure of SrLiSnPt.

Values from the calculation:
Space-group type: F-43m (216)

Cell lengths 4.9722, 4.9722, 4.9722 Å; angles 60.00, 60.00, 60.00 degrees
Fractional coordinates of all 4 atoms:
Pt (0.7500, 0.7500, 0.7500)
Li (0.2500, 0.2500, 0.2500)
Sr (0.5000, 0.5000, 0.5000)
Sn (0.0000, 0.0000, 0.0000)

If we sort the structures by their calculated energies, the order from most to least stable is version one, version two.

Version one
DFT (PBE) results for a relaxed structure of Sr8Li2Pt.

Values from the calculation:
Space-group type: C2/m (12)

Cell lengths 6.1184, 7.7681, 10.7655 Å; angles 107.92, 106.51, 90.00 degrees
Fractional coordinates of all 11 atoms:
Sr (0.5869, 0.4032, 0.1738)
Sr (0.3586, 0.0431, 0.7171)
Sr (0.9800, 0.2076, 0.9600)
Sr (0.7914, 0.6991, 0.5828)
Sr (0.0200, 0.7924, 0.0400)
Sr (0.2086, 0.3009, 0.4172)
Sr (0.4131, 0.5968, 0.8262)
Sr (0.6414, 0.9569, 0.2829)
Pt (0.5000, 0.0000, 0.0000)
Li (0.1821, 0.7237, 0.3642)
Li (0.8179, 0.2763, 0.6358)

Version two
DFT (PBE) results for a relaxed structure of Sr8Li2Pt.

Values from the calculation:
Space-group type: C2/m (12)

Cell lengths 4.5594, 8.5795, 12.9892 Å; angles 89.53, 100.11, 90.00 degrees
Fractional coordinates of all 11 atoms:
Sr (0.6164, 0.0027, 0.2327)
Sr (0.0042, 0.7687, 0.0084)
Sr (0.6066, 0.4860, 0.2132)
Sr (0.7701, 0.7258, 0.5403)
Sr (0.2299, 0.2742, 0.4597)
Sr (0.9958, 0.2313, 0.9916)
Sr (0.3836, 0.9973, 0.7673)
Sr (0.3934, 0.5140, 0.7868)
Li (0.1671, 0.7269, 0.3342)
Li (0.8329, 0.2731, 0.6658)
Pt (0.5000, 0.0000, 0.0000)

If we sort the structures by their calculated energies, the order from most to least stable is version two, version one.